[1]
Entry from Alexandria: crystalline Y2AlMoC at its relaxed geometry (PBE).

a = 4.908 Å, b = 4.908 Å, c = 4.133 Å
α = 90.00°, β = 90.00°, γ = 90.00°
Element x y z (fractional)
1 Y 0.000 0.500 0.000
2 Y 0.500 0.000 0.000
3 Al 0.000 0.000 0.500
4 Mo 0.500 0.500 0.500
5 C 0.500 0.500 0.000

Output
* DFT formation energy: -5.60 kcal/mol of atoms

---

[2]
Entry from Alexandria: crystalline Al8C3N4 at its relaxed geometry (PBE).

a = 18.631 Å, b = 18.631 Å, c = 18.631 Å
α = 9.96°, β = 9.96°, γ = 9.96°
Element x y z (fractional)
1 Al 0.062 0.062 0.062
2 Al 0.150 0.150 0.150
3 Al 0.226 0.226 0.226
4 Al 0.316 0.316 0.316
5 Al 0.684 0.684 0.684
6 Al 0.774 0.774 0.774
7 Al 0.850 0.850 0.850
8 Al 0.938 0.938 0.938
9 C 0.000 0.000 0.000
10 C 0.190 0.190 0.190
11 C 0.810 0.810 0.810
12 N 0.096 0.096 0.096
13 N 0.283 0.283 0.283
14 N 0.717 0.717 0.717
15 N 0.904 0.904 0.904

Output
* formation energy (no corrections): -687 meV per atom

---

[3]
Entry from Alexandria: crystalline AlCN2 at its relaxed geometry (PBE).

a = 2.980 Å, b = 2.980 Å, c = 14.271 Å
α = 90.00°, β = 90.00°, γ = 120.00°
Element x y z (fractional)
1 Al 0.000 0.000 0.000
2 Al 0.333 0.667 0.667
3 Al 0.667 0.333 0.333
4 C 0.000 0.000 0.500
5 C 0.333 0.667 0.167
6 C 0.667 0.333 0.833
7 N 0.000 0.000 0.410
8 N 0.000 0.000 0.590
9 N 0.333 0.667 0.077
10 N 0.333 0.667 0.257
11 N 0.667 0.333 0.743
12 N 0.667 0.333 0.923

Output
* relative energy among the computed polymorphs: 0.0 meV per atom
* formation energy (no corrections): -185 meV per atom

---

[4]
Entry from Alexandria: crystalline Al5C3N at its relaxed geometry (PBE).

a = 3.307 Å, b = 3.307 Å, c = 21.832 Å
α = 90.00°, β = 90.00°, γ = 120.00°
Element x y z (fractional)
1 Al 0.000 0.000 0.000
2 Al 0.000 0.000 0.189
3 Al 0.000 0.000 0.500
4 Al 0.000 0.000 0.689
5 Al 0.333 0.667 0.103
6 Al 0.333 0.667 0.294
7 Al 0.333 0.667 0.885
8 Al 0.667 0.333 0.385
9 Al 0.667 0.333 0.603
10 Al 0.667 0.333 0.794
11 C 0.000 0.000 0.090
12 C 0.000 0.000 0.343
13 C 0.000 0.000 0.590
14 C 0.000 0.000 0.843
15 C 0.333 0.667 0.207
16 C 0.667 0.333 0.707
17 N 0.333 0.667 0.970
18 N 0.667 0.333 0.470

Output
* relative energy among the computed polymorphs: 3.3 meV per atom
* formation energy (no corrections): -340 meV per atom

---

Q: Number 2 is which compound?
A: Al8C3N4